# 1
A geometry-optimized Cd2AgAs structure, computed with PBE-GGA.

```
Cd2AgAs
1.0
2.200 1.270 5.567
-2.200 1.270 5.567
0.000 -2.540 5.567
Cd Ag As
2 1 1
direct
0.000 0.000 0.000
0.179 0.179 0.179
0.754 0.754 0.754
0.588 0.588 0.588
```

Energy relative to the elements, eV per atom: 0.0597
Magnetic moment, Bohr magnetons per cell: 0.0
Calculated total energy, eV/atom: -2.273

***

# 2
A geometry-optimized LiPr2PaS6 structure, computed with PBE-GGA.

```
LiPr2PaS6
1.0
6.502 0.000 0.000
0.000 6.502 0.000
0.000 0.000 6.285
Li Pr Pa S
1 2 1 6
direct
0.000 0.000 0.000
0.000 0.500 0.458
0.500 0.000 0.458
0.500 0.500 0.054
0.000 0.000 0.627
0.241 0.241 0.190
0.241 0.759 0.190
0.500 0.500 0.627
0.759 0.241 0.190
0.759 0.759 0.190
```

Magnetic moment, Bohr magnetons per cell: 0.0
Raw formation energy, eV per atom: -1.496
Calculated total energy, eV/atom: -6.069

***

# 3
A geometry-optimized TiGeC3 structure, computed with PBE-GGA.

```
TiGeC3
1.0
4.068 0.000 0.000
0.000 4.068 0.000
0.000 0.000 4.068
Ti Ge C
1 1 3
direct
0.000 0.000 0.000
0.500 0.500 0.500
0.000 0.000 0.500
0.000 0.500 0.000
0.500 0.000 0.000
```

Energy relative to the elements, eV per atom: 1.9166
Energy relative to the lowest polymorph listed for this composition, meV/atom: 0.0
Magnetic moment, Bohr magnetons per cell: 0.0
Calculated total energy, eV/atom: -6.120

***

# 4
A geometry-optimized Li2BeH6 structure, computed with PBE-GGA.

```
Li2BeH6
1.0
4.678 -2.369 0.000
4.678 2.369 0.000
-1.105 0.000 3.046
Li Be H
2 1 6
direct
0.201 0.201 0.204
0.799 0.799 0.796
0.500 0.500 0.500
0.136 0.607 0.371
0.393 0.864 0.629
0.416 0.584 0.000
0.584 0.416 0.000
0.607 0.136 0.371
0.864 0.393 0.629
```

Energy relative to the lowest polymorph listed for this composition, meV/atom: 0.0
Magnetic moment, Bohr magnetons per cell: 0.0
Calculated total energy, eV/atom: -3.070

***

# 5
A geometry-optimized AcGdCdPt structure, computed with PBE-GGA.

```
AcGdCdPt
1.0
0.000 3.787 3.787
3.787 0.000 3.787
3.787 3.787 0.000
Ac Gd Cd Pt
1 1 1 1
direct
0.000 0.000 0.000
0.500 0.500 0.500
0.250 0.250 0.250
0.750 0.750 0.750
```

Energy relative to the elements, eV per atom: -0.6009
Magnetic moment, Bohr magnetons per cell: 7.1
Calculated total energy, eV/atom: -6.887

***

# 6
A geometry-optimized K2IrW structure, computed with PBE-GGA.

```
K2IrW
1.0
0.000 3.764 3.764
3.764 0.000 3.764
3.764 3.764 0.000
K Ir W
2 1 1
direct
0.250 0.250 0.250
0.750 0.750 0.750
0.000 0.000 0.000
0.500 0.500 0.500
```

Energy relative to the elements, eV per atom: 2.2516
Energy relative to the lowest polymorph listed for this composition, meV/atom: 1630.1
Magnetic moment, Bohr magnetons per cell: 4.0
Calculated total energy, eV/atom: -3.751

***

# 7
A geometry-optimized TiIn3Os structure, computed with PBE-GGA.

```
TiIn3Os
1.0
5.202 0.000 0.000
0.000 5.202 0.000
0.000 0.000 5.202
Ti In Os
1 3 1
direct
0.000 0.000 0.000
0.000 0.000 0.500
0.000 0.500 0.000
0.500 0.000 0.000
0.500 0.500 0.500
```

Energy relative to the elements, eV per atom: 1.6135
Energy relative to the lowest polymorph listed for this composition, meV/atom: 787.7
Magnetic moment, Bohr magnetons per cell: 2.4
Calculated total energy, eV/atom: -3.854

***

# 8
A geometry-optimized Tb3Y6Tm structure, computed with PBE-GGA.

```
Tb3Y6Tm
1.0
4.814 -10.501 0.000
4.814 10.501 0.000
0.000 0.000 6.386
Tb Y Tm
6 12 2
direct
0.080 0.920 0.500
0.204 0.460 0.103
0.460 0.204 0.603
0.540 0.796 0.103
0.796 0.540 0.603
0.920 0.080 0.000
0.042 0.605 0.265
0.121 0.243 0.525
0.199 0.801 0.803
0.243 0.121 0.025
0.395 0.958 0.265
0.485 0.515 0.773
0.515 0.485 0.273
0.605 0.042 0.765
0.757 0.879 0.525
0.801 0.199 0.303
0.879 0.757 0.025
0.958 0.395 0.765
0.339 0.661 0.574
0.661 0.339 0.074
```

Energy relative to the elements, eV per atom: 0.1141
Energy relative to the lowest polymorph listed for this composition, meV/atom: 0.0
Magnetic moment, Bohr magnetons per cell: 0.0
Calculated total energy, eV/atom: -5.601

***

What is the formula in the seventh record?
TiIn3Os